Here is a geometry-optimized SrMn2Br structure from the Alexandria database. Energies are from PBE.

The structure in extended XYZ format:
```
4
Lattice="-3.153 -1.556 0.751 0.503 -2.827 -3.744 2.946 -4.235 3.593" Properties=species:S:1:pos:R:3 pbc="T T T"
Sr -0.103 -2.896 2.172
Mn -1.325 -2.191 -1.496
Mn 0.000 0.000 0.000
Br 1.725 -3.531 -0.075
```

Magnetic moment, μB per formula unit: 8.18
Space-group type: Pmmm (47)
Calculated volume, Å³ per cell: 107
Raw formation energy, meV/atom: 220

Here is a geometry-optimized ReRhBr2 structure from the Alexandria database. Energies are from PBE.

The structure in extended XYZ format:
```
4
Lattice="4.370 0.000 0.000 0.000 3.045 0.015 0.000 -0.549 5.434" Properties=species:S:1:pos:R:3 pbc="T T T"
Re 2.185 0.624 1.362
Br 0.000 1.098 2.721
Br 0.000 0.150 0.003
Rh 2.185 1.872 4.086
```

Magnetic moment, μB per formula unit: 0.00
Space-group type: P2/m (10)
Calculated volume, Å³ per cell: 72
Raw formation energy, meV/atom: 1062

Here is a geometry-optimized LiSi6Ni3 structure from the Alexandria database. Energies are from PBE.

The structure in extended XYZ format:
```
20
Lattice="3.786 0.000 0.000 0.000 7.528 -1.313 0.000 0.792 9.240" Properties=species:S:1:pos:R:3 pbc="T T T"
Ni 0.946 6.822 7.241
Ni 0.946 2.398 3.939
Ni 2.839 5.922 3.988
Ni 0.946 4.883 0.690
Ni 2.839 3.437 7.238
Ni 2.839 1.498 0.686
Si 0.946 4.678 7.724
Si 2.839 6.722 -0.835
Si 0.946 2.385 6.315
Si 2.839 5.727 6.305
Si 0.946 1.598 8.762
Si 2.839 3.594 4.781
Si 2.839 0.757 3.846
Si 0.946 7.563 4.081
Si 0.946 2.593 1.623
Si 2.839 5.935 1.612
Si 0.946 4.726 3.146
Si 2.839 3.642 0.203
Li 0.946 7.619 0.845
Li 2.839 0.701 7.082
```

Magnetic moment, μB per formula unit: 0.00
Space-group type: P2_1/m (11)
Calculated volume, Å³ per cell: 267
Raw formation energy, meV/atom: -210

Here is a geometry-optimized Mg4TlCr structure from the Alexandria database. Energies are from PBE.

The structure in extended XYZ format:
```
6
Lattice="-5.188 1.820 1.837 -4.160 1.247 -3.840 -4.626 -3.460 -0.488" Properties=species:S:1:pos:R:3 pbc="T T T"
Mg -5.232 -0.147 -0.933
Mg -7.322 0.480 -2.861
Mg -7.556 -1.885 -1.178
Mg -7.838 0.767 -0.010
Cr 0.000 0.000 0.000
Tl -10.481 -0.294 -1.868
```

Formation energy from the elements, eV/atom: 0.302
Magnetic moment, μB per formula unit: 4.47
Space-group type: F-43m (216)
Calculated volume, Å³ per cell: 138

- Which of these has the lowest calculated volume?
  ReRhBr2